# 1
A relaxed In2NiIr crystal. Source: Alexandria, functional PBE.

Unit cell a=4.542 b=4.542 c=5.335 alpha=102.05 beta=102.05 gamma=40.25
Element x y z (fractional)
1 In 0.247 0.247 0.243
2 In 0.753 0.753 0.757
3 Ni 0.500 0.500 0.000
4 Ir 0.000 0.000 0.500

Summary:
- Theoretical density: 11.5 g/cm³
- ΔH_f (0 K): 0.12 eV per atom

# 2
A relaxed NpInNiIr crystal. Source: Alexandria, functional PBE.

Unit cell a=4.689 b=4.689 c=4.689 alpha=60.00 beta=60.00 gamma=60.00
Element x y z (fractional)
1 Np 0.000 0.000 0.000
2 In 0.500 0.500 0.500
3 Ni 0.250 0.250 0.250
4 Ir 0.750 0.750 0.750

Summary:
- Theoretical density: 13.7 g/cm³
- ΔH_f (0 K): -0.12 eV per atom